1.
Material: Pu2ZnO
Method: DFT, PBE-GGA
State: optimized geometry

Results
The space-group type is No. 166. The total energy comes out at -9.541 eV per atom. The total magnetization is 36.33 Bohr magnetons per cell.

Lattice parameters (Å, degrees): 3.3273 3.3273 27.7132 90.00 90.00 120.00
With the nearest neighbours (Å) after each atom.
Sites, in units of the cell vectors:
Pu (0.0000, 0.0000, 0.1119)  3 O 2.45
Pu (0.0000, 0.0000, 0.8881)  3 O 2.45
Pu (0.3333, 0.6667, 0.5547)  3 O 2.45
Pu (0.3333, 0.6667, 0.7786)  3 O 2.45
Pu (0.6667, 0.3333, 0.2214)  3 O 2.45
Pu (0.6667, 0.3333, 0.4453)  3 O 2.45
Zn (0.0000, 0.0000, 0.0000)  2 Pu 3.10, 6 Zn 3.33
Zn (0.3333, 0.6667, 0.6667)  2 Pu 3.10, 6 Zn 3.33
Zn (0.6667, 0.3333, 0.3333)  2 Pu 3.10, 6 Zn 3.33
O (0.0000, 0.0000, 0.5000)  6 Pu 2.45
O (0.3333, 0.6667, 0.1667)  6 Pu 2.45
O (0.6667, 0.3333, 0.8333)  6 Pu 2.45

2.
Material: Pu3ZnO
Method: DFT, PBE-GGA
State: optimized geometry

Results
The space-group type is No. 221. The total energy comes out at -10.679 eV per atom. The total magnetization is 17.94 Bohr magnetons per cell.

Lattice parameters (Å, degrees): 4.8180 4.8180 4.8180 90.00 90.00 90.00
With the nearest neighbours (Å) after each atom.
Sites, in units of the cell vectors:
Pu (0.0000, 0.0000, 0.5000)  2 O 2.41
Pu (0.0000, 0.5000, 0.0000)  2 O 2.41
Pu (0.5000, 0.0000, 0.0000)  2 O 2.41
Zn (0.5000, 0.5000, 0.5000)  12 Pu 3.41
O (0.0000, 0.0000, 0.0000)  6 Pu 2.41

3.
Material: PuZn2O7
Method: DFT, PBE-GGA
State: optimized geometry

Results
The space-group type is No. 12. The total energy comes out at -6.404 eV per atom. The total magnetization is 0.01 Bohr magnetons per cell.

Lattice parameters (Å, degrees): 8.6372 8.6372 10.8352 124.98 124.98 26.94
With the nearest neighbours (Å) after each atom.
Sites, in units of the cell vectors:
Pu (0.2504, 0.2504, 0.2460)  2 O 1.79
Pu (0.7496, 0.7496, 0.7540)  2 O 1.79
Zn (0.0106, 0.0106, 0.8685)  5 O 1.91-2.10
Zn (0.4845, 0.4845, 0.6267)  5 O 1.90-2.10
Zn (0.5155, 0.5155, 0.3733)  5 O 1.90-2.10
Zn (0.9894, 0.9894, 0.1315)  5 O 1.91-2.10
O (0.0208, 0.0208, 0.3316)  3 Zn 1.91-2.08
O (0.0975, 0.0975, 0.0917)  2 Zn 1.95-2.10, 1 Pu 2.08
O (0.2417, 0.2417, 0.4032)  1 Pu 1.79
O (0.2628, 0.2628, 0.7702)  2 Pu 2.02
O (0.2728, 0.2728, 0.1032)  1 Pu 1.79
O (0.4035, 0.4035, 0.4048)  2 Zn 1.94-2.10, 1 Pu 2.09
O (0.4855, 0.4855, 0.1742)  3 Zn 1.90-2.07
O (0.5145, 0.5145, 0.8258)  3 Zn 1.90-2.07
O (0.5965, 0.5965, 0.5952)  2 Zn 1.94-2.10, 1 Pu 2.09
O (0.7272, 0.7272, 0.8968)  1 Pu 1.79
O (0.7372, 0.7372, 0.2298)  2 Pu 2.02
O (0.7583, 0.7583, 0.5968)  1 Pu 1.79
O (0.9025, 0.9025, 0.9083)  2 Zn 1.95-2.10, 1 Pu 2.08
O (0.9792, 0.9792, 0.6684)  3 Zn 1.91-2.08

4.
Material: PuZnO
Method: DFT, PBE-GGA
State: optimized geometry

Results
The space-group type is No. 166. The total energy comes out at -8.505 eV per atom. The total magnetization is 10.53 Bohr magnetons per cell.

Lattice parameters (Å, degrees): 8.8109 8.8109 8.8109 25.46 25.46 25.46
With the nearest neighbours (Å) after each atom.
Sites, in units of the cell vectors:
Pu (0.1101, 0.1101, 0.1101)  4 O 2.31-2.33
Pu (0.8899, 0.8899, 0.8899)  4 O 2.31-2.33
Zn (0.3542, 0.3542, 0.3542)  3 Zn 2.48
Zn (0.6458, 0.6458, 0.6458)  3 Zn 2.48
O (0.2011, 0.2011, 0.2011)  4 Pu 2.31-2.33
O (0.7989, 0.7989, 0.7989)  4 Pu 2.31-2.33

5.
Material: PuZr2O
Method: DFT, PBE-GGA
State: optimized geometry

Results
The space-group type is No. 166. The total energy comes out at -9.993 eV per atom. The total magnetization is 18.14 Bohr magnetons per cell.

Lattice parameters (Å, degrees): 3.3007 3.3007 25.4800 90.00 90.00 120.00
With the nearest neighbours (Å) after each atom.
Sites, in units of the cell vectors:
Pu (0.0000, 0.0000, 0.0000)  2 Zr 2.99, 6 Pu 3.30
Pu (0.3333, 0.6667, 0.6667)  2 Zr 2.99, 6 Pu 3.30
Pu (0.6667, 0.3333, 0.3333)  2 Zr 2.99, 6 Pu 3.30
Zr (0.0000, 0.0000, 0.1172)  3 O 2.28
Zr (0.0000, 0.0000, 0.8828)  3 O 2.28
Zr (0.3333, 0.6667, 0.5494)  3 O 2.28
Zr (0.3333, 0.6667, 0.7839)  3 O 2.28
Zr (0.6667, 0.3333, 0.2161)  3 O 2.28
Zr (0.6667, 0.3333, 0.4506)  3 O 2.28
O (0.0000, 0.0000, 0.5000)  6 Zr 2.28
O (0.3333, 0.6667, 0.1667)  6 Zr 2.28
O (0.6667, 0.3333, 0.8333)  6 Zr 2.28

6.
Material: Pu2ZrO8
Method: DFT, PBE-GGA
State: optimized geometry

Results
The space-group type is No. 164. The total energy comes out at -9.312 eV per atom. The total magnetization is 4.00 Bohr magnetons per cell.

Lattice parameters (Å, degrees): 6.6685 6.6685 4.2194 90.00 90.00 120.00
With the nearest neighbours (Å) after each atom.
Sites, in units of the cell vectors:
Pu (0.3333, 0.6667, 0.2532)  5 O 2.00-2.14
Pu (0.6667, 0.3333, 0.7468)  5 O 2.00-2.14
Zr (0.0000, 0.0000, 0.5000)  6 O 2.13
O (0.1604, 0.3209, 0.2535)  1 Pu 2.00, 1 Zr 2.13
O (0.1604, 0.8396, 0.2535)  1 Pu 2.00, 1 Zr 2.13
O (0.3209, 0.1604, 0.7465)  1 Pu 2.00, 1 Zr 2.13
O (0.3333, 0.6667, 0.7458)  2 Pu 2.08-2.14
O (0.6667, 0.3333, 0.2542)  2 Pu 2.08-2.14
O (0.6791, 0.8396, 0.2535)  1 Pu 2.00, 1 Zr 2.13
O (0.8396, 0.1604, 0.7465)  1 Pu 2.00, 1 Zr 2.13
O (0.8396, 0.6791, 0.7465)  1 Pu 2.00, 1 Zr 2.13

7.
Material: PuZrO6
Method: DFT, PBE-GGA
State: optimized geometry

Results
The space-group type is No. 12. The total energy comes out at -8.842 eV per atom. The total magnetization is 0.11 Bohr magnetons per cell.

Lattice parameters (Å, degrees): 5.2151 9.4435 5.2032 90.00 102.55 90.00
With the nearest neighbours (Å) after each atom.
Sites, in units of the cell vectors:
Pu (0.0000, 0.0000, 0.0000)  6 O 1.97-1.98
Pu (0.5000, 0.5000, 0.0000)  6 O 1.97-1.98
Zr (0.0000, 0.5000, 0.5000)  6 O 2.09-2.14
Zr (0.5000, 0.0000, 0.5000)  6 O 2.09-2.14
O (0.2325, 0.1330, 0.2369)  1 Pu 1.98, 1 Zr 2.14
O (0.2325, 0.8670, 0.2369)  1 Pu 1.98, 1 Zr 2.14
O (0.2450, 0.0000, 0.7603)  1 Pu 1.97, 1 Zr 2.09
O (0.2550, 0.5000, 0.2397)  1 Pu 1.97, 1 Zr 2.09
O (0.2675, 0.3670, 0.7631)  1 Pu 1.98, 1 Zr 2.14
O (0.2675, 0.6330, 0.7631)  1 Pu 1.98, 1 Zr 2.14
O (0.7325, 0.3670, 0.2369)  1 Pu 1.98, 1 Zr 2.14
O (0.7325, 0.6330, 0.2369)  1 Pu 1.98, 1 Zr 2.14
O (0.7450, 0.5000, 0.7603)  1 Pu 1.97, 1 Zr 2.09
O (0.7550, 0.0000, 0.2397)  1 Pu 1.97, 1 Zr 2.09
O (0.7675, 0.1330, 0.7631)  1 Pu 1.98, 1 Zr 2.14
O (0.7675, 0.8670, 0.7631)  1 Pu 1.98, 1 Zr 2.14

8.
Material: PuZr2O8
Method: DFT, PBE-GGA
State: optimized geometry

Results
The space-group type is No. 12. The total energy comes out at -9.057 eV per atom. The total magnetization is 2.00 Bohr magnetons per cell.

Lattice parameters (Å, degrees): 5.7238 5.7238 5.3123 103.53 103.53 69.40
With the nearest neighbours (Å) after each atom.
Sites, in units of the cell vectors:
Pu (0.0000, 0.0000, 0.0000)  2 O 1.88
Zr (0.2953, 0.2953, 0.5599)  7 O 2.12-2.23
Zr (0.7047, 0.7047, 0.4401)  7 O 2.12-2.23
O (0.0468, 0.6391, 0.7261)  2 Zr 2.12-2.15, 1 Pu 2.20
O (0.1261, 0.1261, 0.7818)  1 Pu 1.88
O (0.3609, 0.9532, 0.2739)  2 Zr 2.12-2.15, 1 Pu 2.20
O (0.4594, 0.4594, 0.3543)  1 O 1.52
O (0.5406, 0.5406, 0.6457)  1 O 1.52
O (0.6391, 0.0468, 0.7261)  2 Zr 2.12-2.15, 1 Pu 2.20
O (0.8739, 0.8739, 0.2182)  1 Pu 1.88
O (0.9532, 0.3609, 0.2739)  2 Zr 2.12-2.15, 1 Pu 2.20

9.
Material: Pu2ZrO11
Method: DFT, PBE-GGA
State: optimized geometry

Results
The space-group type is No. 8. The total energy comes out at -8.501 eV per atom. The total magnetization is 6.05 Bohr magnetons per cell.

Lattice parameters (Å, degrees): 7.7922 7.7922 8.5123 106.75 106.75 83.83
With the nearest neighbours (Å) after each atom.
Sites, in units of the cell vectors:
Pu (0.0000, 0.0000, 0.0000)  4 O 1.88
Pu (0.0101, 0.0101, 0.5172)  4 O 1.81-1.90
Pu (0.4775, 0.4775, 0.2689)  4 O 1.81-1.93
Pu (0.5020, 0.5020, 0.8067)  2 O 1.85-1.87
Zr (0.0404, 0.4640, 0.8981)  6 O 2.00-2.24
Zr (0.4640, 0.0404, 0.8981)  6 O 2.00-2.24
O (0.0186, 0.7603, 0.0084)  1 Pu 1.88
O (0.0357, 0.7871, 0.3844)  1 Pu 1.81
O (0.1088, 0.1088, 0.3074)  1 O 1.29
O (0.2248, 0.5133, 0.7955)  1 Zr 2.00, 1 Pu 2.13
O (0.2292, 0.2292, 0.3720)  1 O 1.29
O (0.2299, 0.4880, 0.1414)  1 Pu 1.93, 1 Zr 2.14
O (0.2379, 0.9842, 0.9849)  1 Pu 1.88
O (0.2405, 0.9887, 0.6657)  1 Pu 1.90
O (0.4589, 0.4589, 0.5739)  1 Pu 1.85
O (0.4605, 0.7137, 0.3742)  1 Pu 1.81
O (0.4880, 0.2299, 0.1414)  1 Pu 1.93, 1 Zr 2.14
O (0.5031, 0.7742, 0.8294)  1 Zr 2.00, 1 Pu 2.07
O (0.5133, 0.2248, 0.7955)  1 Zr 2.00, 1 Pu 2.13
O (0.5492, 0.5492, 0.0436)  1 Pu 1.87
O (0.7137, 0.4605, 0.3742)  1 Pu 1.81
O (0.7603, 0.0186, 0.0084)  1 Pu 1.88
O (0.7662, 0.7662, 0.6279)  1 O 1.28
O (0.7742, 0.5031, 0.8294)  1 Zr 2.00, 1 Pu 2.07
O (0.7871, 0.0357, 0.3844)  1 Pu 1.81
O (0.8858, 0.8858, 0.6938)  1 O 1.28
O (0.9842, 0.2379, 0.9849)  1 Pu 1.88
O (0.9887, 0.2405, 0.6657)  1 Pu 1.90

10.
Material: PuZrO5
Method: DFT, PBE-GGA
State: optimized geometry

Results
The space-group type is No. 71. The total energy comes out at -9.517 eV per atom. The total magnetization is 4.00 Bohr magnetons per cell.

Lattice parameters (Å, degrees): 3.9281 6.6997 8.2048 90.00 90.00 90.00
With the nearest neighbours (Å) after each atom.
Sites, in units of the cell vectors:
Pu (0.0000, 0.0000, 0.0000)  2 O 1.85
Pu (0.5000, 0.5000, 0.5000)  2 O 1.85
Zr (0.0000, 0.0000, 0.5000)  4 O 1.96-2.10
Zr (0.5000, 0.5000, 0.0000)  4 O 1.96-2.10
O (0.0000, 0.0000, 0.2258)  1 Pu 1.85
O (0.0000, 0.0000, 0.7742)  1 Pu 1.85
O (0.0000, 0.3141, 0.5000)  1 Zr 2.10, 2 Pu 2.33
O (0.0000, 0.5000, 0.0000)  2 Zr 1.96
O (0.0000, 0.6859, 0.5000)  1 Zr 2.10, 2 Pu 2.33
O (0.5000, 0.0000, 0.5000)  2 Zr 1.96
O (0.5000, 0.1859, 0.0000)  1 Zr 2.10, 2 Pu 2.33
O (0.5000, 0.5000, 0.2742)  1 Pu 1.85
O (0.5000, 0.5000, 0.7258)  1 Pu 1.85
O (0.5000, 0.8141, 0.0000)  1 Zr 2.10, 2 Pu 2.33

11.
Material: Rb4O
Method: DFT, PBE-GGA
State: optimized geometry

Results
The space-group type is No. 13. The total energy comes out at -2.354 eV per atom. The total magnetization is 0.00 Bohr magnetons per cell. The energy above the most stable polymorph in this dataset comes out at 0.00 eV per formula unit.

Lattice parameters (Å, degrees): 8.2623 9.3771 7.6430 90.00 108.93 90.00
With the nearest neighbours (Å) after each atom.
Sites, in units of the cell vectors:
Rb (0.1859, 0.0940, 0.4979)  2 O 2.84
Rb (0.1859, 0.9060, 0.9979)  2 O 2.84
Rb (0.2280, 0.3249, 0.9380)  1 O 2.75
Rb (0.2280, 0.6751, 0.4380)  1 O 2.75
Rb (0.7720, 0.3249, 0.5620)  1 O 2.75
Rb (0.7720, 0.6751, 0.0620)  1 O 2.75
Rb (0.8141, 0.0940, 0.0021)  2 O 2.84
Rb (0.8141, 0.9060, 0.5021)  2 O 2.84
O (0.0000, 0.1194, 0.7500)  6 Rb 2.75-2.84
O (0.0000, 0.8806, 0.2500)  6 Rb 2.75-2.84